Record 1
DFT (PBE) results for crystalline Ba3Sr4Ca4 at its relaxed geometry.

Values from the calculation:
M_tot = 0.000 μB/atom
Formation energy from the elements = 0.03 eV/atom
Uncorrected energy = -0.0674 Ha/atom

a b c (Å): 4.041 6.606 21.419
angles (deg): 98.84 93.18 90.04
Space group P-1 (No. 2)
Symmetry-distinct sites (fractional):
Ba1 0.000 0.000 0.000
Ba2 0.099 0.637 0.273
Sr1 0.189 0.272 0.544
Sr2 0.280 0.909 0.818
Ca1 0.374 0.545 0.089
Ca2 0.474 0.182 0.365

=====

Record 2
DFT (PBE) results for crystalline KZrTlN2 at its relaxed geometry.

Values from the calculation:
Formation energy (no corrections) = 2.270 eV/atom
M_tot = 0.000 μB/atom
Uncorrected energy = -0.1272 Ha/atom

a b c (Å): 4.507 4.507 5.189
angles (deg): 90.00 90.00 90.00
Space group P4/mmm (No. 123)
Symmetry-distinct sites (fractional):
K1 0.000 0.000 0.000
Zr1 0.500 0.500 0.500
Tl1 0.000 0.000 0.500
N1 0.000 0.500 0.000

=====

Record 3
DFT (PBE) results for crystalline Ca2I2N at its relaxed geometry.

Values from the calculation:
Formation energy (no corrections) = -1.044 eV/atom
M_tot = 0.039 μB/atom
Uncorrected energy = -0.1518 Ha/atom

a b c (Å): 10.217 12.084 5.178
angles (deg): 90.00 90.00 90.00
Space group Ibam (No. 72)
Symmetry-distinct sites (fractional):
Ca1 0.148 0.100 0.000
I1 0.162 0.367 0.000
N1 0.000 0.000 0.250

=====

Record 4
DFT (PBE) results for crystalline InP2RuCl at its relaxed geometry.

Values from the calculation:
Formation energy (no corrections) = 0.168 eV/atom
M_tot = 0.000 μB/atom
Uncorrected energy = -0.1752 Ha/atom

a b c (Å): 4.582 4.582 5.369
angles (deg): 90.00 90.00 90.00
Space group P4/mmm (No. 123)
Symmetry-distinct sites (fractional):
In1 0.000 0.000 0.000
P1 0.000 0.500 0.500
Ru1 0.500 0.500 0.500
Cl1 0.500 0.500 0.000

=====

Record 5
DFT (PBE) results for crystalline LiTl2PtI6 at its relaxed geometry.

Values from the calculation:
Formation energy (no corrections) = -0.477 eV/atom
M_tot = 0.000 μB/atom
Uncorrected energy = -0.0983 Ha/atom

a b c (Å): 7.8799 7.8799 41.8332
angles (deg): 90.00 90.00 120.00
Space group R-3m (No. 166, hexagonal axes)
Symmetry-distinct sites (fractional):
Li1 0.0000 0.0000 0.0770
Tl1 0.0000 0.0000 0.1905
Tl2 0.0000 0.0000 0.3903
Pt1 0.0000 0.0000 0.0000
Pt2 0.0000 0.0000 0.5000
I1 0.0029 0.5014 0.6289
I2 0.0034 0.5017 0.2054

=====

Record 6
DFT (PBE) results for crystalline Li2AcMgHg2 at its relaxed geometry.

Values from the calculation:
M_tot = 0.000 μB/atom
Formation energy from the elements = -0.35 eV/atom
Uncorrected energy = -0.0748 Ha/atom

a b c (Å): 4.7601 4.7601 7.4200
angles (deg): 90.00 90.00 120.00
Space group P-3m1 (No. 164)
Symmetry-distinct sites (fractional):
Li1 0.3333 0.6667 0.1574
Ac1 0.0000 0.0000 0.5000
Mg1 0.0000 0.0000 0.0000
Hg1 0.3333 0.6667 0.7798

=====

Record 7
DFT (PBE) results for crystalline MgGaPd5 at its relaxed geometry.

Values from the calculation:
M_tot = 0.000 μB/atom
Formation energy from the elements = -0.35 eV/atom
Uncorrected energy = -0.1734 Ha/atom

a b c (Å): 8.085 9.546 7.022
angles (deg): 90.00 121.91 90.00
Space group C2/c (No. 15)
Symmetry-distinct sites (fractional):
Mg1 0.000 0.191 0.250
Ga1 0.250 0.250 0.000
Pd1 0.000 0.077 0.750
Pd2 0.070 0.353 0.603
Pd3 0.222 0.419 0.352

=====

Record 8
DFT (PBE) results for crystalline ScC3 at its relaxed geometry.

Values from the calculation:
M_tot = 0.000 μB/atom
Formation energy from the elements = 1.94 eV/atom
Uncorrected energy = -0.2411 Ha/atom

a b c (Å): 3.329 3.329 3.329
angles (deg): 90.00 90.00 90.00
Space group Pm-3m (No. 221)
Symmetry-distinct sites (fractional):
Sc1 0.000 0.000 0.000
C1 0.000 0.500 0.500